# AcSm2Zn2In2

AcSm2Zn2In2 after structural relaxation (GGA-PBE, Alexandria).

Cell and atoms, written as POSCAR:
```
AcSm2Zn2In2
1.0
4.800 0.000 0.000
2.400 4.157 0.000
2.400 1.386 9.756
Ac Sm Zn In
1 2 2 2
Cartesian
0.000 0.000 0.000
2.400 1.386 5.914
7.200 4.157 3.842
4.800 2.771 2.462
4.800 2.771 7.294
7.200 4.157 7.548
2.400 1.386 2.208
```

Summary:
M_tot	0.000	μB/atom
formation enthalpy at 0 K	-0.30	eV/atom
space-group type	R-3m (166)